## A
Below is an optimized crystal structure of Nb2AgHRh, with properties calculated at the GGA-PBE level. Values from VASP.

* space-group type: P4/mmm (123)

Geometry as Quantum ESPRESSO input:
```
&SYSTEM
  ibrav = 0, nat = 5, ntyp = 4
/
ATOMIC_SPECIES
Ag 107.87 Ag.upf
Nb 92.91 Nb.upf
H 1.01 H.upf
Rh 102.91 Rh.upf
CELL_PARAMETERS angstrom
4.0753 0.0000 0.0000
0.0000 4.0753 0.0000
0.0000 0.0000 4.1849
ATOMIC_POSITIONS crystal
Ag 0.0000 0.0000 0.5000
Nb 0.5000 0.0000 0.0000
H 0.0000 0.0000 0.0000
Nb 0.0000 0.5000 0.0000
Rh 0.5000 0.5000 0.5000
```

***

## B
Below is an optimized crystal structure of Nb2AgHRh, with properties calculated at the GGA-PBE level. Values from VASP.

* space-group type: P4/mmm (123)

Geometry as Quantum ESPRESSO input:
```
&SYSTEM
  ibrav = 0, nat = 5, ntyp = 4
/
ATOMIC_SPECIES
Rh 102.91 Rh.upf
Ag 107.87 Ag.upf
Nb 92.91 Nb.upf
H 1.01 H.upf
CELL_PARAMETERS angstrom
-1.4739 -2.1996 3.1580
1.6890 -3.4083 -1.5857
3.4285 0.7209 2.1023
ATOMIC_POSITIONS crystal
Rh 0.0000 0.0000 0.5000
Ag 0.5000 0.5000 0.5000
Nb 0.0000 0.5000 0.0000
Nb 0.5000 0.0000 0.0000
H 0.0000 0.0000 0.0000
```

***

Order from most stable to least stable according to the calculation: B, A